Entry 1:
Density functional theory data (PBE) for a relaxed structure of Hf2CdW.

Properties
Formation energy = 870 meV/atom
Total DFT energy (no corrections) = -0.278 hartree per atom
Symmetry = I-42d, No. 122
Total moment = 0.00 μB/f.u.

Lattice parameters (Å, degrees): 4.1234 4.1234 20.1095 90.00 90.00 90.00
Closest atoms and distances in Å follow each position.
Atoms (fractional coordinates):
Hf1 0.2382 0.2500 0.1250  4 Hf 2.85-2.99, 2 W 2.89, 2 Cd 2.92
Hf2 0.2500 0.7382 0.3750  4 Hf 2.85-2.99, 2 W 2.89, 2 Cd 2.92
Hf3 0.2500 0.7618 0.8750  4 Hf 2.85-2.99, 2 W 2.89, 2 Cd 2.92
Hf4 0.2618 0.2500 0.6250  4 Hf 2.85-2.99, 2 W 2.89, 2 Cd 2.92
Hf5 0.7382 0.7500 0.6250  4 Hf 2.85-2.99, 2 W 2.89, 2 Cd 2.92
Hf6 0.7500 0.2382 0.8750  4 Hf 2.85-2.99, 2 W 2.89, 2 Cd 2.92
Hf7 0.7500 0.2618 0.3750  4 Hf 2.85-2.99, 2 W 2.89, 2 Cd 2.92
Hf8 0.7618 0.7500 0.1250  4 Hf 2.85-2.99, 2 W 2.89, 2 Cd 2.92
Cd1 0.0000 0.0000 0.5000  4 W 2.92, 4 Hf 2.92
Cd2 0.0000 0.5000 0.7500  4 W 2.92, 4 Hf 2.92
Cd3 0.5000 0.0000 0.2500  4 W 2.92, 4 Hf 2.92
Cd4 0.5000 0.5000 0.0000  4 W 2.92, 4 Hf 2.92
W1 0.0000 0.0000 0.0000  4 Hf 2.89, 4 Cd 2.92
W2 0.0000 0.5000 0.2500  4 Hf 2.89, 4 Cd 2.92
W3 0.5000 0.0000 0.7500  4 Hf 2.89, 4 Cd 2.92
W4 0.5000 0.5000 0.5000  4 Hf 2.89, 4 Cd 2.92

---

Entry 2:
Density functional theory data (PBE) for a relaxed structure of Hf2CdW.

Properties
Formation energy = -32 meV/atom
Total DFT energy (no corrections) = -0.311 hartree per atom
Symmetry = P4/mmm, No. 123
Total moment = 0.00 μB/f.u.

Lattice parameters (Å, degrees): 3.4083 3.4083 6.9588 90.00 90.00 90.00
Closest atoms and distances in Å follow each position.
Atoms (fractional coordinates):
Hf1 0.0000 0.0000 0.2214  4 W 2.86, 1 Hf 3.08, 4 Cd 3.09
Hf2 0.0000 0.0000 0.7786  4 W 2.86, 1 Hf 3.08, 4 Cd 3.09
Cd1 0.5000 0.5000 0.5000  8 Hf 3.09, 4 Cd 3.41
W1 0.5000 0.5000 0.0000  8 Hf 2.86

---

Entry 3:
Density functional theory data (PBE) for a relaxed structure of Hf2CdW.

Properties
Formation energy = 490 meV/atom
Total DFT energy (no corrections) = -0.292 hartree per atom
Symmetry = R-3m, No. 166
Total moment = 0.00 μB/f.u.

Lattice parameters (Å, degrees): 2.9547 2.9547 32.7121 90.00 90.00 120.00
Closest atoms and distances in Å follow each position.
Atoms (fractional coordinates):
Hf1 0.0000 0.0000 0.0842  1 W 2.75, 6 Hf 2.95
Hf2 0.0000 0.0000 0.9158  1 W 2.75, 6 Hf 2.95
Hf3 0.3333 0.6667 0.5825  1 W 2.75, 6 Hf 2.95
Hf4 0.3333 0.6667 0.7508  1 W 2.75, 6 Hf 2.95
Hf5 0.6667 0.3333 0.2492  1 W 2.75, 6 Hf 2.95
Hf6 0.6667 0.3333 0.4175  1 W 2.75, 6 Hf 2.95
Cd1 0.0000 0.0000 0.5000  6 Cd 2.95, 6 Hf 3.19
Cd2 0.3333 0.6667 0.1667  6 Cd 2.95, 6 Hf 3.19
Cd3 0.6667 0.3333 0.8333  6 Cd 2.95, 6 Hf 3.19
W1 0.0000 0.0000 0.0000  2 Hf 2.75, 6 W 2.95
W2 0.3333 0.6667 0.6667  2 Hf 2.75, 6 W 2.95
W3 0.6667 0.3333 0.3333  2 Hf 2.75, 6 W 2.95

---

Entry 4:
Density functional theory data (PBE) for a relaxed structure of HfCdW2.

Properties
Formation energy = 1181 meV/atom
Total DFT energy (no corrections) = -0.294 hartree per atom
Symmetry = I-42d, No. 122
Total moment = 0.00 μB/f.u.

Lattice parameters (Å, degrees): 7.5924 7.5924 5.5312 90.00 90.00 90.00
Closest atoms and distances in Å follow each position.
Atoms (fractional coordinates):
Hf1 0.0000 0.0000 0.0000  2 Cd 2.77, 4 W 2.81
Hf2 0.0000 0.5000 0.2500  2 Cd 2.77, 4 W 2.81
Hf3 0.5000 0.0000 0.7500  2 Cd 2.77, 4 W 2.81
Hf4 0.5000 0.5000 0.5000  2 Cd 2.77, 4 W 2.81
Cd1 0.0000 0.0000 0.5000  4 W 2.73, 2 Hf 2.77
Cd2 0.0000 0.5000 0.7500  4 W 2.73, 2 Hf 2.77
Cd3 0.5000 0.0000 0.2500  4 W 2.73, 2 Hf 2.77
Cd4 0.5000 0.5000 0.0000  4 W 2.73, 2 Hf 2.77
W1 0.2424 0.2500 0.6250  2 Cd 2.73, 2 W 2.77, 2 Hf 2.81
W2 0.2500 0.7424 0.8750  2 Cd 2.73, 2 W 2.77, 2 Hf 2.81
W3 0.2500 0.7576 0.3750  2 Cd 2.73, 2 W 2.77, 2 Hf 2.81
W4 0.2576 0.2500 0.1250  2 Cd 2.73, 2 W 2.77, 2 Hf 2.81
W5 0.7424 0.7500 0.1250  2 Cd 2.73, 2 W 2.77, 2 Hf 2.81
W6 0.7500 0.2424 0.3750  2 Cd 2.73, 2 W 2.77, 2 Hf 2.81
W7 0.7500 0.2576 0.8750  2 Cd 2.73, 2 W 2.77, 2 Hf 2.81
W8 0.7576 0.7500 0.6250  2 Cd 2.73, 2 W 2.77, 2 Hf 2.81